1.
PmNi2Cl8 after structural relaxation. Source: the Alexandria database, functional PBE.

abc: 12.845 8.767 6.340
angles: 90.00 100.04 90.00
Space group C2/m (No. 12)
Symmetry-distinct sites (fractional):
Pm  0.000  0.000  0.000
Ni  0.195  0.000  0.666
Cl  0.102  0.196  0.768
Cl  0.138  0.500  0.234
Cl  0.179  0.000  0.308

Energy (eV/atom): -3.858

***

2.
RbCSCl2 after structural relaxation. Source: the Alexandria database, functional PBE.

abc: 5.625 5.625 3.637
angles: 90.00 90.00 90.00
Space group P4/mmm (No. 123)
Symmetry-distinct sites (fractional):
Rb  0.000  0.000  0.000
C  0.500  0.500  0.500
S  0.500  0.500  0.000
Cl  0.000  0.500  0.500

Excess energy over the best structure of this formula in the dataset (meV per atom): 0
Energy (eV/atom): -3.425

***

3.
PaTiCdO6 after structural relaxation. Source: the Alexandria database, functional PBE.

abc: 5.3777 5.3777 4.8333
angles: 90.00 90.00 120.00
Space group P312 (No. 149)
Symmetry-distinct sites (fractional):
Pa  0.0000  0.0000  0.0000
Ti  0.6667  0.3333  0.5000
Cd  0.3333  0.6667  0.5000
O  0.3519  0.0447  0.7358

Energy (eV/atom): -7.816

***

4.
Y5Si5Ge2 after structural relaxation. Source: the Alexandria database, functional PBE.

abc: 14.451 4.063 11.255
angles: 90.00 129.37 90.00
Space group C2/m (No. 12)
Symmetry-distinct sites (fractional):
Y  0.000  0.000  0.000
Y  0.111  0.000  0.429
Y  0.206  0.000  0.840
Si  0.000  0.500  0.500
Si  0.064  0.500  0.842
Si  0.234  0.500  0.679
Ge  0.143  0.500  0.258

Energy (eV/atom): -6.345

***

Calculated total magnetic moment, 5.00 0.00 0.98 0.00 μB per formula unit (same order as the records).
Calculated ΔE_f (raw), -1.032 0.178 -2.476 -0.622 eV per atom (same order as the records).